Cs3Mn2O4 | PBE+U | relaxed

DFT total energy: -198.67 eV per cell
Volume: 23.7 Å³ per atom
Density: 4.46 g cm⁻³

Lattice parameters (Å, degrees): 6.1544 16.0608 8.6342 90.00 90.00 90.00
With the nearest neighbours (Å) after each atom.
Space group Imma (No. 74)
Asymmetric unit:
1 Cs 0.0000 0.1149 0.0725 [8 per cell]  5 O 3.00-3.19
2 Cs 0.0000 0.2500 0.6010 [4 per cell]  6 O 3.17-3.20, 2 Mn 3.33
3 Mn 0.0000 0.0440 0.6441 [8 per cell]  4 O 1.98-2.07
4 O 0.0000 0.0784 0.4134 [8 per cell]  2 Mn 2.03-2.07
5 O 0.2500 0.0972 0.7500 [8 per cell]  2 Mn 1.98